Below is an optimized crystal structure of Eu3Mg5Cl12, with properties calculated at the GGA-PBE level.

Values from the calculation:
- energy relative to the elements, uncorrected (eV/atom) = -1.5852
- space-group type = Ia-3d (230)
- total moment (Bohr magnetons per cell) = 84.0

a b c (Å): 14.6413 14.6413 14.6413
angles (deg): 109.47 109.47 109.47
Each line ends with the local moment (μB).
Fractional coordinates of all 80 atoms:
Cl1 0.6388 0.6006 0.8977  -0.01
Cl2 0.9618 0.3612 0.2589  -0.01
Cl3 0.5382 0.2971 0.8994  -0.01
Cl4 0.2411 0.5382 0.6388  -0.01
Cl5 0.7971 0.8994 0.0382  -0.01
Cl6 0.6023 0.7411 0.7029  -0.01
Cl7 0.1388 0.3977 0.1006  -0.01
Cl8 0.2589 0.8612 0.9618  -0.01
Cl9 0.3977 0.1388 0.6006  -0.01
Cl10 0.2971 0.5382 0.3994  -0.01
Cl11 0.1006 0.8977 0.1388  -0.01
Cl12 0.1023 0.2029 0.2411  -0.01
Cl13 0.5382 0.2411 0.1388  -0.01
Cl14 0.3612 0.9618 0.7589  -0.01
Cl15 0.1023 0.8994 0.3612  -0.01
Cl16 0.7589 0.4618 0.3612  -0.01
Cl17 0.6023 0.8612 0.3994  -0.01
Cl18 0.4618 0.7029 0.1006  -0.01
Cl19 0.2029 0.1006 0.9618  -0.01
Cl20 0.7029 0.2411 0.6023  -0.01
Cl21 0.2971 0.7589 0.3977  -0.01
Cl22 0.3994 0.3612 0.6023  -0.01
Cl23 0.8612 0.6023 0.8994  -0.01
Cl24 0.3977 0.2589 0.2971  -0.01
Cl25 0.1388 0.7411 0.5382  -0.01
Cl26 0.7589 0.2971 0.8977  -0.01
Cl27 0.0382 0.3994 0.7971  -0.01
Cl28 0.8977 0.7971 0.7589  -0.01
Cl29 0.6388 0.0382 0.2411  -0.01
Cl30 0.2589 0.3977 0.7971  -0.01
Cl31 0.7411 0.1388 0.0382  -0.01
Cl32 0.8612 0.2589 0.4618  -0.01
Cl33 0.9618 0.6006 0.2029  -0.01
Cl34 0.7411 0.6023 0.2029  -0.01
Cl35 0.8977 0.1006 0.6388  -0.01
Cl36 0.2411 0.7029 0.1023  -0.01
Cl37 0.3612 0.3994 0.1023  -0.01
Cl38 0.2029 0.1023 0.7411  -0.01
Cl39 0.8994 0.7971 0.5382  -0.01
Cl40 0.8994 0.1023 0.8612  -0.01
Cl41 0.1006 0.2029 0.4618  -0.01
Cl42 0.7029 0.4618 0.6006  -0.01
Cl43 0.6006 0.6388 0.3977  -0.01
Cl44 0.0382 0.6388 0.7411  -0.01
Cl45 0.3994 0.0382 0.2971  -0.01
Cl46 0.6006 0.9618 0.7029  -0.01
Cl47 0.7971 0.8977 0.2589  -0.01
Cl48 0.4618 0.7589 0.8612  -0.01
Mg1 0.5000 0.5000 0.5000  -0.01
Mg2 0.6250 0.7500 0.8750  0.00
Mg3 0.5000 0.0000 0.0000  -0.01
Mg4 0.3750 0.1250 0.7500  0.00
Mg5 0.0000 0.5000 0.0000  -0.01
Mg6 0.5000 0.5000 0.0000  -0.01
Mg7 0.0000 0.0000 0.5000  -0.01
Mg8 0.3750 0.2500 0.1250  0.00
Mg9 0.6250 0.8750 0.2500  0.00
Mg10 0.2500 0.3750 0.6250  0.00
Mg11 0.8750 0.2500 0.6250  0.00
Mg12 0.0000 0.0000 0.0000  -0.01
Mg13 0.1250 0.3750 0.2500  0.00
Mg14 0.0000 0.5000 0.5000  -0.01
Mg15 0.8750 0.6250 0.7500  0.00
Mg16 0.1250 0.7500 0.3750  0.00
Mg17 0.2500 0.8750 0.1250  0.00
Mg18 0.7500 0.6250 0.3750  0.00
Mg19 0.5000 0.0000 0.5000  -0.01
Mg20 0.7500 0.1250 0.8750  0.00
Eu1 0.3750 0.7500 0.6250  6.91
Eu2 0.2500 0.6250 0.8750  6.91
Eu3 0.6250 0.3750 0.7500  6.91
Eu4 0.6250 0.2500 0.3750  6.91
Eu5 0.7500 0.3750 0.1250  6.91
Eu6 0.2500 0.1250 0.3750  6.91
Eu7 0.8750 0.7500 0.1250  6.91
Eu8 0.3750 0.6250 0.2500  6.91
Eu9 0.1250 0.2500 0.8750  6.91
Eu10 0.1250 0.8750 0.7500  6.91
Eu11 0.8750 0.1250 0.2500  6.91
Eu12 0.7500 0.8750 0.6250  6.91

Below is an optimized crystal structure of EuMnCl2, with properties calculated at the GGA-PBE level.

Values from the calculation:
- energy relative to the elements, uncorrected (eV/atom) = -0.7566
- space-group type = R-3m (166)
- total moment (Bohr magnetons per cell) = 11.9

a b c (Å): 3.8400 3.8400 8.8942
angles (deg): 77.53 77.53 60.00
Each line ends with the local moment (μB).
Fractional coordinates of all 4 atoms:
Eu1 0.0000 0.0000 0.0000  7.02
Cl1 0.1137 0.1137 0.6589  0.04
Cl2 0.8863 0.8863 0.3411  0.04
Mn1 0.5000 0.5000 0.5000  4.09